Here is a relaxed structure of Nd2Y4C from the Alexandria database. Energies are from PBE.

Computed properties:
total magnetic moment: 0.00 μB/f.u.
calculated volume: 30.85 A^3/atom
ΔE_f: 0.11 eV/atom
relative energy among the computed polymorphs: 0.227 eV per atom

abc: 4.876 4.876 9.715
angles: 75.46 75.46 90.00
Sites, in units of the cell vectors:
C 0.000 0.000 0.000
Y 0.132 0.132 0.736
Y 0.868 0.868 0.264
Y 0.000 0.500 0.000
Y 0.500 0.000 0.000
Nd 0.678 0.678 0.644
Nd 0.322 0.322 0.356

=====

Here is a relaxed structure of NaSm3Os from the Alexandria database. Energies are from PBE.

Computed properties:
total magnetic moment: 0.00 μB/f.u.
calculated volume: 34.73 A^3/atom
ΔE_f: 0.07 eV/atom

abc: 5.579 5.579 5.579
angles: 90.00 90.00 90.00
Sites, in units of the cell vectors:
Os 0.000 0.000 0.000
Sm 0.500 0.000 0.000
Sm 0.000 0.500 0.000
Sm 0.000 0.000 0.500
Na 0.500 0.500 0.500

=====

Here is a relaxed structure of BaRe2Br from the Alexandria database. Energies are from PBE.

Computed properties:
energy relative to the elements, uncorrected: 628 kJ/mol of formula units
total magnetic moment: 0.91 μB/f.u.
calculated volume: 20.52 A^3/atom
relative energy among the computed polymorphs: 1.354 eV per atom

abc: 10.435 10.435 10.435
angles: 16.73 16.73 16.73
Each line ends with the local moment (μB).
Sites, in units of the cell vectors:
Ba 0.750 0.750 0.750  -0.03
Re 0.514 0.514 0.514  -0.37
Re 0.986 0.986 0.986  -0.37
Br 0.250 0.250 0.250  -0.01

=====

Here is a relaxed structure of ScTaS from the Alexandria database. Energies are from PBE.

Computed properties:
energy relative to the elements, uncorrected: -328 kJ/mol of formula units
total magnetic moment: 0.00 μB/f.u.
calculated volume: 18.35 A^3/atom

abc: 3.604 3.604 9.888
angles: 111.37 111.37 90.03
Sites, in units of the cell vectors:
Ta 0.684 0.684 0.434
Ta 0.316 0.316 0.566
Sc 0.057 0.057 0.806
Sc 0.943 0.943 0.194
S 0.385 0.385 0.135
S 0.615 0.615 0.865

=====

Here is a relaxed structure of KYFe2Br from the Alexandria database. Energies are from PBE.

Computed properties:
energy relative to the elements, uncorrected: 460 kJ/mol of formula units
total magnetic moment: 4.25 μB/f.u.
calculated volume: 24.88 A^3/atom

abc: 4.755 5.502 4.755
angles: 90.00 90.00 90.00
Each line ends with the local moment (μB).
Sites, in units of the cell vectors:
Fe 0.500 0.000 0.000  2.76
Fe 0.000 0.000 0.500  2.50
K 0.000 0.500 0.000  -0.03
Y 0.500 0.500 0.500  -0.34
Br 0.000 0.000 0.000  0.03

=====

Here is a relaxed structure of CeSmIrRh from the Alexandria database. Energies are from PBE.

Computed properties:
total magnetic moment: 0.00 μB/f.u.
calculated volume: 22.15 A^3/atom
ΔE_f: -0.77 eV/atom
relative energy among the computed polymorphs: 0.000 eV per atom

abc: 3.887 4.134 5.846
angles: 90.00 109.42 90.00
Sites, in units of the cell vectors:
Sm 0.140 0.000 0.280
Ce 0.861 0.500 0.722
Ir 0.408 0.000 0.817
Rh 0.591 0.500 0.182

=====

Here is a relaxed structure of Sc4IrAu from the Alexandria database. Energies are from PBE.

Computed properties:
total magnetic moment: 0.00 μB/f.u.
calculated volume: 21.27 A^3/atom
ΔE_f: -0.66 eV/atom
relative energy among the computed polymorphs: 0.000 eV per atom

abc: 4.519 7.706 14.658
angles: 90.00 90.00 90.00
Sites, in units of the cell vectors:
Sc 0.750 0.867 0.663
Sc 0.250 0.084 0.771
Sc 0.750 0.850 0.435
Sc 0.250 0.150 0.565
Sc 0.750 0.984 0.917
Sc 0.250 0.633 0.163
Sc 0.250 0.516 0.417
Sc 0.750 0.484 0.583
Sc 0.750 0.916 0.229
Sc 0.250 0.650 0.935
Sc 0.750 0.350 0.065
Sc 0.750 0.367 0.837
Sc 0.250 0.133 0.337
Sc 0.250 0.016 0.083
Sc 0.250 0.584 0.729
Sc 0.750 0.416 0.271
Au 0.250 0.753 0.557
Au 0.750 0.247 0.443
Au 0.750 0.747 0.057
Au 0.250 0.253 0.943
Ir 0.250 0.305 0.180
Ir 0.750 0.195 0.680
Ir 0.250 0.805 0.320
Ir 0.750 0.695 0.820

=====

Here is a relaxed structure of SrMnNi2 from the Alexandria database. Energies are from PBE.

Computed properties:
total magnetic moment: 4.58 μB/f.u.
calculated volume: 19.81 A^3/atom
ΔE_f: 0.24 eV/atom

abc: 3.846 3.648 5.938
angles: 72.02 90.00 90.00
Each line ends with the local moment (μB).
Sites, in units of the cell vectors:
Ni 0.500 0.094 0.188  0.35
Ni 0.000 0.203 0.967  0.31
Sr 0.000 0.464 0.448  -0.03
Mn 0.500 0.739 0.897  3.82

=====

Here is a relaxed structure of PmLuFe4 from the Alexandria database. Energies are from PBE.

Computed properties:
total magnetic moment: 7.52 μB/f.u.
calculated volume: 16.14 A^3/atom
ΔE_f: -0.06 eV/atom

abc: 5.154 5.154 5.154
angles: 60.00 60.00 60.00
Each line ends with the local moment (μB).
Sites, in units of the cell vectors:
Lu 0.000 0.000 0.000  -0.47
Fe 0.626 0.626 0.123  2.14
Fe 0.123 0.626 0.626  2.14
Fe 0.626 0.626 0.626  2.14
Fe 0.626 0.123 0.626  2.14
Pm 0.250 0.250 0.250  -0.35

=====

Here is a relaxed structure of Sr2PbSe from the Alexandria database. Energies are from PBE.

Computed properties:
energy relative to the elements, uncorrected: -370 kJ/mol of formula units
total magnetic moment: 0.00 μB/f.u.
calculated volume: 35.67 A^3/atom
relative energy among the computed polymorphs: 0.242 eV per atom

abc: 4.915 4.384 6.622
angles: 90.00 90.00 90.00
Sites, in units of the cell vectors:
Sr 0.500 0.500 0.375
Sr 0.000 0.000 0.875
Se 0.500 0.500 0.875
Pb 0.000 0.000 0.375

=====

Here is a relaxed structure of NbRhSe2Br from the Alexandria database. Energies are from PBE.

Computed properties:
energy relative to the elements, uncorrected: 329 kJ/mol of formula units
total magnetic moment: 0.11 μB/f.u.
calculated volume: 22.82 A^3/atom
relative energy among the computed polymorphs: 0.233 eV per atom

abc: 4.866 4.866 4.820
angles: 90.00 90.00 90.00
Sites, in units of the cell vectors:
Br 0.000 0.000 0.500
Se 0.000 0.500 0.000
Se 0.500 0.000 0.000
Nb 0.500 0.500 0.500
Rh 0.000 0.000 0.000

=====

Here is a relaxed structure of LiFeNi from the Alexandria database. Energies are from PBE.

Computed properties:
total magnetic moment: 2.91 μB/f.u.
calculated volume: 12.70 A^3/atom
ΔE_f: 0.03 eV/atom
relative energy among the computed polymorphs: 0.000 eV per atom

abc: 2.555 2.555 11.810
angles: 96.21 96.21 90.00
Each line ends with the local moment (μB).
Sites, in units of the cell vectors:
Fe 0.711 0.711 0.421  2.55
Fe 0.289 0.289 0.579  2.55
Li 0.559 0.559 0.118  -0.01
Li 0.441 0.441 0.882  -0.01
Ni 0.138 0.138 0.277  0.44
Ni 0.862 0.862 0.723  0.44

=====

Here is a relaxed structure of AlTl2Ir from the Alexandria database. Energies are from PBE.

Computed properties:
total magnetic moment: 0.00 μB/f.u.
calculated volume: 21.46 A^3/atom
ΔE_f: 0.50 eV/atom
relative energy among the computed polymorphs: 0.567 eV per atom

abc: 9.682 9.682 9.682
angles: 19.20 19.20 19.20
Sites, in units of the cell vectors:
Tl 0.008 0.008 0.008
Tl 0.492 0.492 0.492
Al 0.250 0.250 0.250
Ir 0.750 0.750 0.750

=====

Here is a relaxed structure of TaGa2Re2 from the Alexandria database. Energies are from PBE.

Computed properties:
total magnetic moment: 0.00 μB/f.u.
calculated volume: 15.40 A^3/atom
ΔE_f: 0.14 eV/atom

abc: 7.020 7.020 3.124
angles: 90.00 90.00 90.00
Sites, in units of the cell vectors:
Ta 0.000 0.000 0.000
Ta 0.500 0.500 0.000
Re 0.835 0.335 0.500
Re 0.335 0.165 0.500
Re 0.665 0.835 0.500
Re 0.165 0.665 0.500
Ga 0.632 0.132 0.000
Ga 0.132 0.368 0.000
Ga 0.368 0.868 0.000
Ga 0.868 0.632 0.000

=====

Here is a relaxed structure of Mg2BBrO from the Alexandria database. Energies are from PBE.

Computed properties:
energy relative to the elements, uncorrected: 579 kJ/mol of formula units
total magnetic moment: 0.00 μB/f.u.
calculated volume: 21.04 A^3/atom

abc: 5.062 4.107 5.062
angles: 90.00 90.00 90.00
Sites, in units of the cell vectors:
O 0.500 0.500 0.500
Br 0.000 0.000 0.000
Mg 0.000 0.000 0.500
Mg 0.500 0.000 0.000
B 0.000 0.500 0.000

=====

Here is a relaxed structure of Hf3Ir4 from the Alexandria database. Energies are from PBE.

Computed properties:
total magnetic moment: 0.00 μB/f.u.
calculated volume: 17.21 A^3/atom
ΔE_f: -0.87 eV/atom

abc: 5.577 7.304 7.304
angles: 113.76 104.74 104.74
Sites, in units of the cell vectors:
Hf 0.762 0.860 0.259
Hf 0.238 0.140 0.741
Hf 0.502 0.741 0.600
Hf 0.902 0.400 0.140
Hf 0.498 0.259 0.400
Hf 0.098 0.600 0.860
Ir 0.038 0.293 0.458
Ir 0.500 0.000 0.000
Ir 0.744 0.165 0.707
Ir 0.962 0.707 0.542
Ir 0.421 0.458 0.165
Ir 0.256 0.835 0.293
Ir 0.000 0.000 0.000
Ir 0.579 0.542 0.835

=====

Here is a relaxed structure of Na2PO from the Alexandria database. Energies are from PBE.

Computed properties:
energy relative to the elements, uncorrected: -215 kJ/mol of formula units
total magnetic moment: 0.00 μB/f.u.
calculated volume: 21.01 A^3/atom
relative energy among the computed polymorphs: 0.000 eV per atom

abc: 9.388 9.388 6.907
angles: 47.19 47.19 90.00
Sites, in units of the cell vectors:
P 0.750 0.250 0.500
P 0.000 0.000 0.000
O 0.500 0.500 0.000
O 0.250 0.750 0.500
Na 0.875 0.679 0.750
Na 0.375 0.571 0.750
Na 0.429 0.125 0.250
Na 0.321 0.625 0.250

=====

Here is a relaxed structure of La4Tb3Ho2 from the Alexandria database. Energies are from PBE.

Computed properties:
total magnetic moment: 0.00 μB/f.u.
calculated volume: 34.97 A^3/atom
ΔE_f: 0.08 eV/atom
relative energy among the computed polymorphs: 0.055 eV per atom

abc: 3.688 6.772 14.681
angles: 64.22 90.00 105.80
Sites, in units of the cell vectors:
La 0.352 0.704 0.872
La 0.648 0.296 0.128
La 0.112 0.224 0.606
La 0.888 0.776 0.394
Tb 0.000 0.000 0.000
Tb 0.382 0.763 0.612
Tb 0.618 0.237 0.388
Ho 0.337 0.675 0.209
Ho 0.663 0.325 0.791

=====

Here is a relaxed structure of LiThAl2Cu4 from the Alexandria database. Energies are from PBE.

Computed properties:
total magnetic moment: 0.00 μB/f.u.
calculated volume: 15.93 A^3/atom
ΔE_f: -0.25 eV/atom

abc: 4.195 4.195 8.706
angles: 76.06 76.06 60.00
Sites, in units of the cell vectors:
Al 0.237 0.237 0.289
Al 0.763 0.763 0.711
Cu 0.405 0.405 0.785
Cu 0.868 0.868 0.396
Cu 0.595 0.595 0.215
Cu 0.132 0.132 0.604
Li 0.500 0.500 0.500
Th 0.000 0.000 0.000

=====

Here is a relaxed structure of Li5Sn3 from the Alexandria database. Energies are from PBE.

Computed properties:
total magnetic moment: 0.00 μB/f.u.
calculated volume: 19.14 A^3/atom
ΔE_f: -0.35 eV/atom
relative energy among the computed polymorphs: 0.008 eV per atom

abc: 5.841 5.841 9.469
angles: 90.00 90.00 108.56
Sites, in units of the cell vectors:
Li 0.503 0.997 0.250
Li 0.997 0.503 0.250
Li 0.994 0.994 0.750
Li 0.746 0.746 0.002
Li 0.003 0.497 0.750
Li 0.746 0.746 0.498
Li 0.006 0.006 0.250
Li 0.254 0.254 0.502
Li 0.254 0.254 0.998
Li 0.497 0.003 0.750
Sn 0.756 0.244 0.500
Sn 0.244 0.756 0.000
Sn 0.504 0.504 0.750
Sn 0.496 0.496 0.250
Sn 0.244 0.756 0.500
Sn 0.756 0.244 0.000

=====

Here is a relaxed structure of ReHgIrF2 from the Alexandria database. Energies are from PBE.

Computed properties:
energy relative to the elements, uncorrected: 127 kJ/mol of formula units
total magnetic moment: 0.00 μB/f.u.
calculated volume: 16.81 A^3/atom

abc: 4.097 5.007 4.097
angles: 90.00 90.00 90.00
Sites, in units of the cell vectors:
Re 0.000 0.500 0.000
F 0.500 0.000 0.000
F 0.000 0.000 0.500
Ir 0.000 0.000 0.000
Hg 0.500 0.500 0.500

=====

Here is a relaxed structure of Na4PaSn3Se8 from the Alexandria database. Energies are from PBE.

Computed properties:
energy relative to the elements, uncorrected: -1432 kJ/mol of formula units
total magnetic moment: 0.00 μB/f.u.
calculated volume: 26.98 A^3/atom

abc: 8.461 8.506 8.461
angles: 119.84 120.00 90.00
Sites, in units of the cell vectors:
Na 0.500 0.000 0.500
Na 0.000 0.000 0.500
Na 0.000 0.000 0.000
Na 0.500 0.000 0.000
Se 0.766 0.272 0.532
Se 0.234 0.728 0.468
Se 0.240 0.272 0.006
Se 0.748 0.744 0.496
Se 0.252 0.256 0.504
Se 0.766 0.272 0.006
Se 0.760 0.728 0.994
Se 0.234 0.728 0.994
Pa 0.000 0.500 0.000
Sn 0.500 0.500 0.500
Sn 0.500 0.500 0.000
Sn 0.000 0.500 0.500

=====

Here is a relaxed structure of Y2Th3Sc from the Alexandria database. Energies are from PBE.

Computed properties:
total magnetic moment: 0.00 μB/f.u.
calculated volume: 31.37 A^3/atom
ΔE_f: 0.20 eV/atom

abc: 6.683 11.143 7.524
angles: 137.78 90.02 90.00
Sites, in units of the cell vectors:
Th 0.500 0.164 0.327
Th 0.500 0.836 0.673
Th 0.500 0.500 0.000
Th 0.000 0.836 0.673
Th 0.000 0.500 0.000
Th 0.000 0.164 0.327
Y 0.750 0.099 0.661
Y 0.750 0.438 0.339
Y 0.250 0.901 0.339
Y 0.250 0.562 0.661
Sc 0.250 0.226 0.000
Sc 0.750 0.774 0.000

=====

Here is a relaxed structure of Mg3Ag2 from the Alexandria database. Energies are from PBE.

Computed properties:
total magnetic moment: 0.00 μB/f.u.
calculated volume: 21.28 A^3/atom
ΔE_f: -0.15 eV/atom
relative energy among the computed polymorphs: 0.057 eV per atom

abc: 4.665 4.665 5.647
angles: 90.00 90.00 120.00
Sites, in units of the cell vectors:
Ag 0.667 0.333 0.147
Ag 0.333 0.667 0.853
Mg 0.667 0.333 0.647
Mg 0.000 0.000 0.000
Mg 0.333 0.667 0.353

=====

Here is a relaxed structure of MnSiPd5 from the Alexandria database. Energies are from PBE.

Computed properties:
energy relative to the elements, uncorrected: -304 kJ/mol of formula units
total magnetic moment: 4.25 μB/f.u.
calculated volume: 15.34 A^3/atom
relative energy among the computed polymorphs: 0.000 eV per atom

abc: 3.956 3.956 6.864
angles: 90.00 90.00 90.00
Each line ends with the local moment (μB).
Sites, in units of the cell vectors:
Pd 0.500 0.000 0.790  0.04
Pd 0.500 0.000 0.210  0.04
Pd 0.000 0.500 0.790  0.04
Pd 0.500 0.500 0.500  0.12
Pd 0.000 0.500 0.210  0.04
Si 0.500 0.500 0.000  -0.02
Mn 0.000 0.000 0.500  3.91